Entry 1:
Tl2ReO4: optimized geometry, PBE.

The structure in POSCAR format:
```
Tl2ReO4
1.0
3.377 -5.199 0.000
3.377 5.199 0.000
-3.370 0.000 5.197
Tl Re O
2 1 4
direct
0.250 0.750 0.000
0.750 0.250 0.000
0.499 0.499 0.500
0.210 0.492 0.499
0.492 0.210 0.499
0.508 0.508 0.220
0.787 0.787 0.783
```

Results
Space group   Cm
Formation energy (no corrections)   -1215 meV per atom
Distance to the lowest polymorph of the same formula   0 meV/atom



Entry 2:
Tl2ReO5: optimized geometry, PBE.

The structure in POSCAR format:
```
Tl2ReO5
1.0
-3.186 3.186 4.464
3.186 -3.186 4.464
3.186 3.186 -4.464
Tl Re O
2 1 5
direct
0.000 0.500 0.500
0.500 0.000 0.500
0.167 0.167 0.000
0.304 0.304 0.398
0.304 0.906 0.000
0.362 0.362 0.000
0.906 0.304 0.000
0.906 0.906 0.602
```

Results
Space group   I4mm
Formation energy (no corrections)   -1139 meV per atom



Entry 3:
TlReO2: optimized geometry, PBE.

The structure in POSCAR format:
```
TlReO2
1.0
0.000 2.938 2.938
2.938 0.000 2.938
2.938 2.938 0.000
Tl Re O
1 1 2
direct
0.000 0.000 0.000
0.500 0.500 0.500
0.250 0.250 0.250
0.750 0.750 0.750
```

Results
Space group   Fm-3m
Formation energy (no corrections)   546 meV per atom
Distance to the lowest polymorph of the same formula   1226 meV/atom



Entry 4:
TlReO3: optimized geometry, PBE.

The structure in POSCAR format:
```
TlReO3
1.0
6.962 0.000 0.000
0.000 3.190 0.000
-2.273 0.000 7.398
Tl Re O
2 2 6
direct
0.184 0.250 0.261
0.816 0.750 0.739
0.330 0.750 0.830
0.670 0.250 0.170
0.178 0.250 0.886
0.276 0.750 0.596
0.476 0.750 0.120
0.524 0.250 0.880
0.724 0.250 0.404
0.822 0.750 0.114
```

Results
Space group   P2_1/m
Formation energy (no corrections)   -1177 meV per atom



Entry 5:
Tl3ReO4: optimized geometry, PBE.

The structure in POSCAR format:
```
Tl3ReO4
1.0
-3.122 4.096 3.651
3.122 -4.096 3.651
3.122 4.096 -3.651
Tl Re O
3 1 4
direct
0.000 0.000 0.000
0.114 0.400 0.715
0.685 0.400 0.285
0.432 0.932 0.500
0.117 0.795 0.322
0.473 0.795 0.678
0.571 0.303 0.731
0.571 0.840 0.269
```

Results
Space group   Imm2
Formation energy (no corrections)   -982 meV per atom



Entry 6:
TlReO2: optimized geometry, PBE.

The structure in POSCAR format:
```
TlReO2
1.0
1.452 0.838 7.820
-1.452 0.838 7.820
0.000 -1.677 7.820
Tl Re O
1 1 2
direct
0.000 0.000 0.000
0.500 0.500 0.500
0.112 0.112 0.112
0.888 0.888 0.888
```

Results
Space group   R-3m
Formation energy (no corrections)   -680 meV per atom
Distance to the lowest polymorph of the same formula   0 meV/atom



Entry 7:
TlReO2: optimized geometry, PBE.

The structure in POSCAR format:
```
TlReO2
1.0
-2.597 2.597 5.475
2.597 -2.597 5.475
2.597 2.597 -5.475
Tl Re O
2 2 4
direct
0.000 0.000 0.000
0.750 0.250 0.500
0.250 0.750 0.500
0.500 0.500 0.000
0.307 0.625 0.182
0.375 0.557 0.682
0.443 0.125 0.818
0.875 0.693 0.318
```

Results
Space group   I-42d
Formation energy (no corrections)   -521 meV per atom
Distance to the lowest polymorph of the same formula   159 meV/atom



Entry 8:
Tl2Re2O7: optimized geometry, PBE.

The structure in POSCAR format:
```
Tl2Re2O7
1.0
4.064 -5.353 0.000
4.064 5.353 0.000
-0.823 0.000 5.652
Tl Re O
2 2 7
direct
0.199 0.801 0.000
0.801 0.199 0.000
0.281 0.281 0.564
0.719 0.719 0.436
0.124 0.398 0.735
0.135 0.135 0.299
0.398 0.124 0.735
0.500 0.500 0.500
0.602 0.876 0.265
0.865 0.865 0.701
0.876 0.602 0.265
```

Results
Space group   C2/m
Formation energy (no corrections)   -1284 meV per atom



Entry 9:
TlReO2: optimized geometry, PBE.

The structure in POSCAR format:
```
TlReO2
1.0
-3.301 3.301 6.673
3.301 -3.301 6.673
3.301 3.301 -6.673
Tl Re O
4 4 8
direct
0.000 0.000 0.000
0.000 0.000 0.500
0.000 0.500 0.000
0.500 0.000 0.500
0.000 0.500 0.500
0.500 0.000 0.000
0.500 0.500 0.000
0.500 0.500 0.500
0.237 0.312 0.574
0.237 0.663 0.926
0.312 0.237 0.074
0.337 0.763 0.574
0.663 0.237 0.426
0.688 0.763 0.926
0.763 0.337 0.074
0.763 0.688 0.426
```

Results
Space group   I4_1/amd
Formation energy (no corrections)   -291 meV per atom
Distance to the lowest polymorph of the same formula   388 meV/atom



Entry 10:
TlRe4O12: optimized geometry, PBE.

The structure in POSCAR format:
```
TlRe4O12
1.0
-3.849 3.849 3.849
3.849 -3.849 3.849
3.849 3.849 -3.849
Tl Re O
1 4 12
direct
0.000 0.000 0.000
0.000 0.000 0.500
0.000 0.500 0.000
0.500 0.000 0.000
0.500 0.500 0.500
0.000 0.251 0.749
0.000 0.749 0.251
0.251 0.000 0.749
0.251 0.251 0.502
0.251 0.502 0.251
0.251 0.749 0.000
0.498 0.749 0.749
0.502 0.251 0.251
0.749 0.000 0.251
0.749 0.251 0.000
0.749 0.498 0.749
0.749 0.749 0.498
```

Results
Space group   Im-3m
Formation energy (no corrections)   -1450 meV per atom



Entry 11:
Tl2ReO4: optimized geometry, PBE.

The structure in POSCAR format:
```
Tl2ReO4
1.0
-1.924 1.924 8.045
1.924 -1.924 8.045
1.924 1.924 -8.045
Tl Re O
2 1 4
direct
0.162 0.162 0.000
0.838 0.838 0.000
0.500 0.500 0.000
0.000 0.500 0.500
0.381 0.381 0.000
0.500 0.000 0.500
0.619 0.619 0.000
```

Results
Space group   I4/mmm
Formation energy (no corrections)   -1185 meV per atom
Distance to the lowest polymorph of the same formula   30 meV/atom



Entry 12:
TmTl2Re3O12: optimized geometry, PBE.

The structure in POSCAR format:
```
TmTl2Re3O12
1.0
3.696 2.134 6.236
-3.696 2.134 6.236
0.000 -4.268 6.236
Tm Tl Re O
1 2 3 12
direct
0.000 0.000 0.000
0.345 0.345 0.345
0.655 0.655 0.655
0.000 0.000 0.500
0.000 0.500 0.000
0.500 0.000 0.000
0.067 0.697 0.697
0.072 0.072 0.649
0.072 0.649 0.072
0.303 0.303 0.933
0.303 0.933 0.303
0.351 0.928 0.928
0.649 0.072 0.072
0.697 0.067 0.697
0.697 0.697 0.067
0.928 0.351 0.928
0.928 0.928 0.351
0.933 0.303 0.303
```

Results
Space group   R-3m
Formation energy (no corrections)   -1713 meV per atom



Entry 13:
Tm2TlReO8: optimized geometry, PBE.

The structure in POSCAR format:
```
Tm2TlReO8
1.0
4.883 0.000 0.000
0.000 6.981 0.000
-0.227 0.000 4.881
Tm Tl Re O
2 1 1 8
direct
0.000 0.245 0.000
0.000 0.755 0.000
0.500 0.500 0.500
0.500 0.000 0.500
0.197 0.500 0.196
0.217 0.000 0.215
0.313 0.195 0.686
0.313 0.805 0.686
0.687 0.195 0.314
0.687 0.805 0.314
0.783 0.000 0.785
0.803 0.500 0.804
```

Results
Space group   P2/m
Formation energy (no corrections)   -2234 meV per atom



Entry 14:
TmTl2ReO6: optimized geometry, PBE.

The structure in POSCAR format:
```
TmTl2ReO6
1.0
6.551 0.000 0.000
-3.276 5.674 0.000
0.000 0.000 5.737
Tm Tl Re O
1 2 1 6
direct
0.000 0.000 0.000
0.333 0.667 0.524
0.667 0.333 0.476
0.000 0.000 0.500
0.133 0.265 0.294
0.133 0.867 0.294
0.265 0.133 0.706
0.735 0.867 0.294
0.867 0.133 0.706
0.867 0.735 0.706
```

Results
Space group   P-3m1
Formation energy (no corrections)   -1697 meV per atom



Entry 15:
U3Tl2ReO12: optimized geometry, PBE.

The structure in POSCAR format:
```
U3Tl2ReO12
1.0
3.945 2.278 6.151
-3.945 2.278 6.151
0.000 -4.556 6.151
U Tl Re O
3 2 1 12
direct
0.000 0.500 0.500
0.500 0.000 0.500
0.500 0.500 0.000
0.113 0.113 0.113
0.887 0.887 0.887
0.500 0.500 0.500
0.177 0.177 0.567
0.177 0.567 0.177
0.205 0.557 0.557
0.433 0.823 0.823
0.443 0.443 0.795
0.443 0.795 0.443
0.557 0.205 0.557
0.557 0.557 0.205
0.567 0.177 0.177
0.795 0.443 0.443
0.823 0.433 0.823
0.823 0.823 0.433
```

Results
Space group   R-3m
Formation energy (no corrections)   -2413 meV per atom